Entry from Alexandria: Rb2IrSeCl6 after structural relaxation (PBE-GGA).

Cell and atoms, written as POSCAR:
```
Rb2IrSeCl6
1.0
-5.928 -3.803 -3.722
-2.774 -2.547 7.020
-6.943 0.546 1.975
Rb Se Cl Ir
2 1 6 1
Direct
0.250 0.750 0.500
0.750 0.250 0.500
0.500 0.500 0.000
0.788 0.212 0.000
0.212 0.788 0.000
0.249 0.249 0.501
0.788 0.788 0.000
0.212 0.212 0.000
0.751 0.751 0.499
0.000 0.000 0.000
```

DFT total energy = -0.123 hartree per atom
space-group type = No. 139
spin magnetization = 0.98 μB/f.u.
calculated volume = 28.9 A^3/atom